[1]
## Li4GeAu7 (PBE-GGA)

Data for crystalline Li4GeAu7 at its relaxed geometry.

extended XYZ file:
```
12
Lattice="5.191 -2.485 0.000 5.191 2.485 0.000 -4.377 0.000 8.677" Properties=species:S:1:pos:R:3 pbc="T T T"
Li -0.167 0.000 2.360
Li -0.565 0.000 7.509
Li 6.570 0.000 1.168
Li 6.171 0.000 6.317
Ge 3.002 0.000 4.339
Au -2.188 0.000 4.339
Au 1.371 0.000 0.044
Au 0.448 0.000 5.066
Au 3.602 0.000 1.638
Au 2.403 0.000 7.039
Au 5.556 0.000 3.611
Au 4.634 0.000 8.633
```

Summary:
**Energy of formation**: -0.292 eV/atom
**Magnetization**: 0.00 Bohr magnetons per cell
**Crystal system**: monoclinic

***

[2]
## La6In2OsN (PBE-GGA)

Data for crystalline La6In2OsN at its relaxed geometry.

extended XYZ file:
```
10
Lattice="7.487 0.000 0.000 3.629 6.558 0.000 3.618 2.157 6.201" Properties=species:S:1:pos:R:3 pbc="T T T"
La 3.368 2.340 1.857
La 5.514 3.105 5.057
La 7.474 6.127 4.748
La 7.260 2.588 1.453
La 9.221 5.610 1.144
La 11.367 6.375 4.344
In 5.448 5.433 1.525
In 9.286 3.282 4.676
Os 5.553 1.079 3.100
N 1.815 3.279 0.000
```

Summary:
**Formation energy (no corrections)**: -503 meV per atom
**Magnetization**: 0.00 Bohr magnetons per cell
**Crystal system**: triclinic

***

- Number 1 is which compound?
  Li4GeAu7